(1)
Entry from the Alexandria database: SrCd2As2 after structural relaxation (PBE-GGA).

For the calculated total energy, the calculation gives -2.803 eV/atom. As for the energy of formation: -0.241 eV per atom.

The structure belongs to space group P4/mbm (No. 127); the cell edges are 8.140, 8.140 and 3.777 Å and the angles 90.00°, 90.00° and 90.00°. Symmetry generates all atoms from Sr at (0.000, 0.000, 0.000), Cd at (0.135, 0.365, 0.500) and As at (0.159, 0.659, 0.000).



(2)
Entry from the Alexandria database: SrCdAs2 after structural relaxation (PBE-GGA).

For the calculated total energy, the calculation gives -3.323 eV/atom. As for the energy of formation: -0.349 eV per atom.

The structure belongs to space group Pm (No. 6); the cell edges are 3.378, 5.526 and 5.589 Å and the angles 90.00°, 90.06° and 90.00°. Symmetry generates all atoms from Sr at (0.000, 0.000, 0.000), Cd at (0.511, 0.500, 0.441), As at (0.500, 0.500, 0.944) and As at (0.501, 0.000, 0.503).



(3)
Entry from the Alexandria database: SrCd2As2 after structural relaxation (PBE-GGA).

For the calculated total energy, the calculation gives -3.197 eV/atom. As for the energy of formation: -0.634 eV per atom.

The structure belongs to space group P-3m1 (No. 164); the cell edges are 4.5179, 4.5179 and 7.4801 Å and the angles 90.00°, 90.00° and 120.00°. Symmetry generates all atoms from Sr at (0.0000, 0.0000, 0.0000), Cd at (0.3333, 0.6667, 0.6325) and As at (0.3333, 0.6667, 0.2490).



Q: Which value of calculated total energy does entry 3 give?
A: -3.197 eV/atom



Q: Which value of calculated total energy does entry 2 give?
A: -3.323 eV/atom